# KCrCo2Ni, relaxed, DFT PBE
# N(E_F) ... 9.76 states/eV/f.u.
# E_form ... 2.715 eV per atom
# SG ... P4/mmm
# Spin magnetization ... 2.82 μB/f.u.
data_KCrCo2Ni
_cell_length_a 4.378
_cell_length_b 4.378
_cell_length_c 4.373
_cell_angle_alpha 90.00
_cell_angle_beta 90.00
_cell_angle_gamma 90.00
_space_group_name_H-M_alt 'P 1'
_space_group_IT_number 1
loop_
_space_group_symop_operation_xyz
'x,y,z'
loop_
_atom_site_label
_atom_site_fract_x
_atom_site_fract_y
_atom_site_fract_z
K1 0.000 0.000 0.000
Cr1 0.500 0.500 0.500
Co1 0.000 0.500 0.000
Co2 0.500 0.000 0.000
Ni1 0.000 0.000 0.500

=====

# Ac4Cd3Ag, relaxed, DFT PBE
# N(E_F) ... 9.78 states/eV/f.u.
# E_form ... -0.285 eV per atom
# SG ... P4/mmm
# Spin magnetization ... 0.00 μB/f.u.
data_Ac4Cd3Ag
_cell_length_a 4.052
_cell_length_b 4.052
_cell_length_c 16.185
_cell_angle_alpha 90.00
_cell_angle_beta 90.00
_cell_angle_gamma 90.00
_space_group_name_H-M_alt 'P 1'
_space_group_IT_number 1
loop_
_space_group_symop_operation_xyz
'x,y,z'
loop_
_atom_site_label
_atom_site_fract_x
_atom_site_fract_y
_atom_site_fract_z
Ac1 0.000 0.000 0.120
Ac2 0.000 0.000 0.373
Ac3 0.000 0.000 0.627
Ac4 0.000 0.000 0.880
Cd1 0.500 0.500 0.248
Cd2 0.500 0.500 0.500
Cd3 0.500 0.500 0.752
Ag1 0.500 0.500 0.000

=====

# ZnInReC2, relaxed, DFT PBE
# N(E_F) ... 1.56 states/eV/f.u.
# E_form ... 1.213 eV per atom
# SG ... P4/mmm
# Spin magnetization ... 0.00 μB/f.u.
data_ZnInReC2
_cell_length_a 4.016
_cell_length_b 4.016
_cell_length_c 5.531
_cell_angle_alpha 90.00
_cell_angle_beta 90.00
_cell_angle_gamma 90.00
_space_group_name_H-M_alt 'P 1'
_space_group_IT_number 1
loop_
_space_group_symop_operation_xyz
'x,y,z'
loop_
_atom_site_label
_atom_site_fract_x
_atom_site_fract_y
_atom_site_fract_z
Zn1 0.000 0.000 0.000
In1 0.500 0.500 0.000
Re1 0.500 0.500 0.500
C1 0.000 0.500 0.500
C2 0.500 0.000 0.500

=====

# K3Ac3BiS8, relaxed, DFT PBE
# N(E_F) ... 2.33 states/eV/f.u.
# Formation energy (no corrections) ... -1.516 eV per atom
# SG ... R-3m
# Spin magnetization ... 0.00 μB/f.u.
data_K3Ac3BiS8
_cell_length_a 9.039
_cell_length_b 9.039
_cell_length_c 9.039
_cell_angle_alpha 57.45
_cell_angle_beta 57.45
_cell_angle_gamma 57.45
_space_group_name_H-M_alt 'P 1'
_space_group_IT_number 1
loop_
_space_group_symop_operation_xyz
'x,y,z'
loop_
_atom_site_label
_atom_site_fract_x
_atom_site_fract_y
_atom_site_fract_z
K1 0.000 0.500 0.500
K2 0.500 0.000 0.500
K3 0.500 0.500 0.000
Ac1 0.000 0.000 0.500
Ac2 0.000 0.500 0.000
Ac3 0.500 0.000 0.000
Bi1 0.500 0.500 0.500
S1 0.238 0.238 0.238
S2 0.258 0.723 0.723
S3 0.277 0.277 0.742
S4 0.277 0.742 0.277
S5 0.723 0.258 0.723
S6 0.723 0.723 0.258
S7 0.742 0.277 0.277
S8 0.762 0.762 0.762

=====

# Tb3Tm4ScS8, relaxed, DFT PBE
# N(E_F) ... 9.23 states/eV/f.u.
# Formation energy (no corrections) ... -1.941 eV per atom
# SG ... R-3m
# Spin magnetization ... 0.00 μB/f.u.
data_Tb3Tm4ScS8
_cell_length_a 7.727
_cell_length_b 7.727
_cell_length_c 7.727
_cell_angle_alpha 59.90
_cell_angle_beta 59.90
_cell_angle_gamma 59.90
_space_group_name_H-M_alt 'P 1'
_space_group_IT_number 1
loop_
_space_group_symop_operation_xyz
'x,y,z'
loop_
_atom_site_label
_atom_site_fract_x
_atom_site_fract_y
_atom_site_fract_z
Tb1 0.000 0.500 0.500
Tb2 0.500 0.000 0.500
Tb3 0.500 0.500 0.000
Tm1 0.000 0.000 0.500
Tm2 0.000 0.500 0.000
Tm3 0.500 0.000 0.000
Tm4 0.500 0.500 0.500
Sc1 0.000 0.000 0.000
S1 0.241 0.753 0.753
S2 0.247 0.247 0.247
S3 0.247 0.247 0.759
S4 0.247 0.759 0.247
S5 0.753 0.241 0.753
S6 0.753 0.753 0.241
S7 0.753 0.753 0.753
S8 0.759 0.247 0.247

=====

# CaInHg, relaxed, DFT PBE
# N(E_F) ... 3.74 states/eV/f.u.
# E_form ... -0.040 eV per atom
# SG ... F-43m
# Spin magnetization ... 0.00 μB/f.u.
data_CaInHg
_cell_length_a 5.147
_cell_length_b 5.147
_cell_length_c 5.147
_cell_angle_alpha 60.00
_cell_angle_beta 60.00
_cell_angle_gamma 60.00
_space_group_name_H-M_alt 'P 1'
_space_group_IT_number 1
loop_
_space_group_symop_operation_xyz
'x,y,z'
loop_
_atom_site_label
_atom_site_fract_x
_atom_site_fract_y
_atom_site_fract_z
Ca1 0.000 0.000 0.000
In1 0.750 0.750 0.750
Hg1 0.250 0.250 0.250

=====

Which formula does entry 3 have? ZnInReC2

=====

Number 5 is which compound? Tb3Tm4ScS8

=====

What is the N(E_F) in the fourth record? 2.33 states/eV/f.u.